1.
The following is a meta-GGA SCAN calculation of a PBEsol-optimized structure of AlTlSi2Au, from Alexandria.

Results
ΔE_f (raw): 0.65 eV per atom

POSCAR file:
```
AlTlSi2Au
1.0
4.8047 0.0000 0.0000
0.0000 4.9133 0.0000
0.0000 0.0000 4.9133
Si Au Al Tl
2 1 1 1
Direct
0.0000 0.5000 0.0000
0.0000 0.0000 0.5000
0.0000 0.0000 0.0000
0.5000 0.0000 0.0000
0.5000 0.5000 0.5000
```

2.
The following is a meta-GGA SCAN calculation of a PBEsol-optimized structure of Al2TlSiAu, from Alexandria.

Results
ΔE_f (raw): 0.63 eV per atom

POSCAR file:
```
Al2TlSiAu
1.0
4.7412 0.0000 0.0000
0.0000 4.7412 0.0000
0.0000 0.0000 5.1420
Al Si Tl Au
2 1 1 1
Direct
0.5000 0.0000 0.0000
0.0000 0.5000 0.0000
0.0000 0.0000 0.0000
0.0000 0.0000 0.5000
0.5000 0.5000 0.5000
```

3.
The following is a meta-GGA SCAN calculation of a PBEsol-optimized structure of SmAl2Au2, from Alexandria.

Results
ΔH_f (0 K): -1.02 eV per atom

POSCAR file:
```
SmAl2Au2
1.0
-2.4297 -0.3319 3.5757
-3.2259 -1.6953 -2.3493
3.7666 -9.4928 1.6783
Sm Al Au
2 4 4
Direct
0.0000 0.5000 0.2488
0.5000 0.0000 0.7512
0.0000 0.5000 0.8686
0.0000 0.0000 0.5000
0.5000 0.0000 0.1314
0.5000 0.5000 0.5000
0.5000 0.5000 0.0000
0.0000 0.0000 0.0000
0.5000 0.0000 0.3689
0.0000 0.5000 0.6311
```

4.
The following is a meta-GGA SCAN calculation of a PBEsol-optimized structure of SmAlAu, from Alexandria.

Results
ΔH_f (0 K): -1.02 eV per atom

POSCAR file:
```
SmAlAu
1.0
-1.2049 2.4357 -3.5615
5.2901 -3.1458 -3.9412
-4.8890 -5.5437 -2.1374
Al Sm Au
4 4 4
Direct
0.7500 0.3293 0.4208
0.2500 0.1707 0.9208
0.7500 0.8293 0.0792
0.2500 0.6707 0.5792
0.2500 0.0094 0.3072
0.7500 0.9906 0.6928
0.7500 0.4906 0.8072
0.2500 0.5094 0.1928
0.2500 0.2940 0.5950
0.2500 0.7940 0.9050
0.7500 0.7060 0.4050
0.7500 0.2060 0.0950
```

Repeat the first record exactly.
The following is a meta-GGA SCAN calculation of a PBEsol-optimized structure of AlTlSi2Au, from Alexandria.

Results
ΔE_f (raw): 0.65 eV per atom

POSCAR file:
```
AlTlSi2Au
1.0
4.8047 0.0000 0.0000
0.0000 4.9133 0.0000
0.0000 0.0000 4.9133
Si Au Al Tl
2 1 1 1
Direct
0.0000 0.5000 0.0000
0.0000 0.0000 0.5000
0.0000 0.0000 0.0000
0.5000 0.0000 0.0000
0.5000 0.5000 0.5000
```